Y3NbF | PBE-GGA | relaxed

Values from the calculation:
Its crystal system is cubic. For the energy above the most stable polymorph in this dataset, the calculation gives 964.7 meV/atom. Its uncorrected formation energy is 0.25 eV/atom. As for the density of states at the Fermi level: 8.89 states/eV/f.u. For the electronic total energy, the calculation gives -30.1 eV per cell.

The structure in CIF format:
```
data_Y3NbF
_chemical_formula_sum 'Y3 Nb1 F1'
_symmetry_space_group_name_H-M 'P 1'
_symmetry_Int_Tables_number 1
_symmetry_space_group_name_Hall 'P 1'
_cell_length_a 5.482
_cell_length_b 5.482
_cell_length_c 5.482
_cell_angle_alpha 90.00
_cell_angle_beta 90.00
_cell_angle_gamma 90.00
loop_
_atom_site_label
_atom_site_fract_x
_atom_site_fract_y
_atom_site_fract_z
_atom_site_occupancy
Y1 0.500 0.000 0.000 1
Y2 0.000 0.500 0.000 1
Y3 0.000 0.000 0.500 1
Nb1 0.000 0.000 0.000 1
F1 0.500 0.500 0.500 1
```